Material: SrCaMn2O6
Method: DFT, PBE with a Hubbard U
State: optimized geometry

abc: 7.6891 5.4306 5.4420
angles: 90.00 90.00 90.00
Space group Pmc2_1 (No. 26)
Unique sites:
1 Sr 0.0000 0.2456 0.0000 x2
2 Ca 0.5000 0.2563 0.0626 x2
3 Mn 0.2550 0.2480 0.5276 x4
4 O 0.0000 0.2996 0.5248 x2
5 O 0.2274 0.0347 0.2390 x4
6 O 0.2911 0.4647 0.8072 x4
7 O 0.5000 0.1769 0.5040 x2

The value obtained for the polymorph energy (0 for the lowest one) is 0.000 eV/atom.